Compound: Pa2Co4Si
Source: Alexandria via LeMat-Bulk
Functional: PBE
Structure: relaxed

Structure (POSCAR):
```
Pa2Co4Si
1.0
4.2536 0.0000 0.0000
0.0000 4.2536 0.0000
-2.1268 -2.1268 6.4269
Co Pa Si
4 2 1
direct
0.8293 0.8293 0.6585
0.0000 0.5000 0.0000
0.5000 0.0000 0.0000
0.1707 0.1707 0.3415
0.3480 0.3480 0.6960
0.6520 0.6520 0.3040
0.0000 0.0000 0.0000
```

Properties
SG: No. 139
Final energy (eV per atom): -7.636
Distance to the lowest polymorph of the same formula (eV/f.u.): 1.71
Crystal system: tetragonal

Compound: Ca2Ni12Ge7
Source: Alexandria via LeMat-Bulk
Functional: PBE
Structure: relaxed

Structure (POSCAR):
```
Ca2Ni12Ge7
1.0
3.7852 0.0000 0.0000
0.0000 8.1887 -4.7277
0.0000 0.0000 9.4555
Ni Ge Ca
12 7 2
direct
0.0000 0.4827 0.9478
0.0000 0.2835 0.0659
0.5000 0.2418 0.7765
0.0000 0.9341 0.2176
0.0000 0.0522 0.5349
0.5000 0.3824 0.2967
0.5000 0.9142 0.6176
0.0000 0.7824 0.7165
0.5000 0.7033 0.0858
0.5000 0.5346 0.7582
0.5000 0.2235 0.4654
0.0000 0.4651 0.5173
0.0000 0.7265 0.9356
0.5000 0.9289 0.3649
0.5000 0.6351 0.5640
0.0000 0.0644 0.7910
0.0000 0.3333 0.6667
0.0000 0.2090 0.2735
0.5000 0.4360 0.0711
0.5000 0.0000 0.0000
0.0000 0.6667 0.3333
```

Properties
SG: No. 174
Final energy (eV per atom): -5.447
Crystal system: hexagonal

Compound: Dy6In2CO
Source: Alexandria via LeMat-Bulk
Functional: PBE
Structure: relaxed

Structure (POSCAR):
```
Dy6In2CO
1.0
6.8595 0.0000 0.0000
0.0000 6.8595 0.0000
0.0000 0.0000 9.6958
Dy O In C
12 2 4 2
direct
0.5000 0.2500 0.7483
0.7518 0.5019 0.0000
0.2482 0.9983 0.0000
0.2518 0.4981 0.5000
0.7482 0.0017 0.5000
0.7518 0.9983 0.0000
0.2518 0.0017 0.5000
0.5000 0.2500 0.2517
0.2482 0.5019 0.0000
0.7482 0.4981 0.5000
0.0000 0.7500 0.2483
0.0000 0.7500 0.7517
0.5000 0.2501 0.0000
0.0000 0.7499 0.5000
0.5000 0.7500 0.7500
0.0000 0.2500 0.7500
0.0000 0.2500 0.2500
0.5000 0.7500 0.2500
0.5000 0.2499 0.5000
0.0000 0.7501 0.0000
```

Properties
SG: No. 225
Final energy (eV per atom): -5.738
Crystal system: cubic

Compound: FeTcW2
Source: Alexandria via LeMat-Bulk
Functional: PBE
Structure: relaxed

Structure (POSCAR):
```
FeTcW2
1.0
-2.0547 2.2967 0.7271
-0.7427 -1.8801 3.8401
3.1904 2.3021 1.7442
Tc W Fe
1 2 1
direct
0.0000 0.5000 0.5000
0.5000 0.5000 0.0000
0.0000 0.0000 0.0000
0.5000 0.0000 0.5000
```

Properties
SG: No. 47
Final energy (eV per atom): -11.071
Distance to the lowest polymorph of the same formula (eV/f.u.): 0.04
Crystal system: orthorhombic

Compound: NiAg2Cl
Source: Alexandria via LeMat-Bulk
Functional: PBE
Structure: relaxed

Structure (POSCAR):
```
NiAg2Cl
1.0
-4.0844 -2.7084 2.5588
-1.6874 -4.9533 -1.7841
4.7050 2.6250 1.2400
Ag Cl Ni
2 1 1
direct
0.0000 0.0000 0.0000
0.5000 0.5000 0.0000
0.2500 0.7500 0.5000
0.7500 0.2500 0.5000
```

Properties
SG: No. 139
Final energy (eV per atom): -2.910
Distance to the lowest polymorph of the same formula (eV/f.u.): 1.50
Crystal system: tetragonal

Compound: Tm3CdIn2
Source: Alexandria via LeMat-Bulk
Functional: PBE
Structure: relaxed

Structure (POSCAR):
```
Tm3CdIn2
1.0
-2.1621 -1.4246 2.6164
2.3215 -2.8316 0.3767
5.7336 5.7472 7.8670
Cd In Tm
1 2 3
direct
0.5000 0.5000 0.5000
0.5000 0.5000 0.8288
0.5000 0.5000 0.1712
0.0000 0.0000 0.3384
0.0000 0.0000 0.6616
0.0000 0.0000 0.0000
```

Properties
SG: No. 123
Final energy (eV per atom): -3.693
Distance to the lowest polymorph of the same formula (eV/f.u.): 0.03
Crystal system: tetragonal

Taking the records one at a time from the top gives calculated density values of 10.4; 7.3; 9.0; 14.6; 7.2; 9.2 Mg/m³.